Computed, not measured: a relaxed structure of HgTeC3 at the GGA-PBE level of DFT. Values from VASP.

Summary:
The value obtained for the offset from the most stable computed form is 337.4 meV/atom. The calculation puts the volume at 16.7 A^3/atom. The value obtained for the energy relative to the elements, uncorrected is 3304 meV per atom.

Geometry as Quantum ESPRESSO input:
```
&SYSTEM
  ibrav = 0, nat = 5, ntyp = 3
/
ATOMIC_SPECIES
Hg 200.59 Hg.upf
Te 127.60 Te.upf
C 12.01 C.upf
ATOMIC_POSITIONS angstrom
Hg 0.000 0.000 0.000
Te 2.186 2.186 2.186
C 0.000 0.000 2.186
C 0.000 2.186 0.000
C 2.186 0.000 0.000
CELL_PARAMETERS angstrom
4.373 0.000 0.000
0.000 4.373 0.000
0.000 0.000 4.373
```